(1)
# Ti2NbAg2

Crystalline Ti2NbAg2 at its relaxed geometry (PBE, the Alexandria database).

Unit cell a=8.8960 b=8.8960 c=3.1971 alpha=90.00 beta=90.00 gamma=158.56
Atoms (fractional coordinates):
Ti 0.0884 0.9116 0.0000
Ti 0.9116 0.0884 0.0000
Nb 0.5000 0.5000 0.5000
Ag 0.3147 0.6853 0.5000
Ag 0.6853 0.3147 0.5000

The value obtained for the formation energy is 0.0676 eV per atom. The calculation puts the total energy at -31.22 eV per cell. Its distance to the lowest polymorph of the same formula is 0.000 eV/atom.


(2)
# Ti2NbAg

Crystalline Ti2NbAg at its relaxed geometry (PBE, the Alexandria database).

Unit cell a=9.8243 b=9.8243 c=9.8243 alpha=156.63 beta=156.63 gamma=33.28
Atoms (fractional coordinates):
Ti 0.1131 0.6250 0.9881
Ti 0.3750 0.3631 0.4881
Ti 0.6369 0.1250 0.0119
Ti 0.8750 0.8869 0.5119
Nb 0.0000 0.0000 0.0000
Nb 0.7500 0.2500 0.5000
Ag 0.2500 0.7500 0.5000
Ag 0.5000 0.5000 0.0000

The value obtained for the formation energy is 0.5546 eV per atom. The calculation puts the total energy at -52.99 eV per cell. Its distance to the lowest polymorph of the same formula is 0.559 eV/atom.


(3)
# Ti2NbAgW

Crystalline Ti2NbAgW at its relaxed geometry (PBE, the Alexandria database).

Unit cell a=4.5478 b=4.5478 c=4.9897 alpha=90.00 beta=90.00 gamma=90.00
Atoms (fractional coordinates):
Ti 0.0000 0.5000 0.0000
Ti 0.5000 0.0000 0.0000
Nb 0.0000 0.0000 0.0000
Ag 0.0000 0.0000 0.5000
W 0.5000 0.5000 0.5000

The value obtained for the formation energy is 1.7169 eV per atom. The calculation puts the total energy at -33.08 eV per cell.


(4)
# ZrTi2NbAg

Crystalline ZrTi2NbAg at its relaxed geometry (PBE, the Alexandria database).

Unit cell a=4.6608 b=4.6608 c=5.0663 alpha=90.00 beta=90.00 gamma=90.00
Atoms (fractional coordinates):
Zr 0.0000 0.0000 0.0000
Ti 0.0000 0.5000 0.0000
Ti 0.5000 0.0000 0.0000
Nb 0.5000 0.5000 0.5000
Ag 0.0000 0.0000 0.5000

The value obtained for the formation energy is 1.3929 eV per atom. The calculation puts the total energy at -30.29 eV per cell. Its distance to the lowest polymorph of the same formula is 0.032 eV/atom.


(5)
# ZrTi2NbAg

Crystalline ZrTi2NbAg at its relaxed geometry (PBE, the Alexandria database).

Unit cell a=4.8034 b=4.8034 c=4.9368 alpha=90.00 beta=90.00 gamma=90.00
Atoms (fractional coordinates):
Zr 0.0000 0.0000 0.0000
Ti 0.0000 0.5000 0.0000
Ti 0.5000 0.0000 0.0000
Nb 0.0000 0.0000 0.5000
Ag 0.5000 0.5000 0.5000

The value obtained for the formation energy is 1.3609 eV per atom. The calculation puts the total energy at -30.45 eV per cell. Its distance to the lowest polymorph of the same formula is 0.000 eV/atom.


(6)
# NbTl3Ag

Crystalline NbTl3Ag at its relaxed geometry (PBE, the Alexandria database).

Unit cell a=5.5042 b=5.5042 c=5.5042 alpha=90.00 beta=90.00 gamma=90.00
Atoms (fractional coordinates):
Nb 0.0000 0.0000 0.0000
Tl 0.0000 0.0000 0.5000
Tl 0.0000 0.5000 0.0000
Tl 0.5000 0.0000 0.0000
Ag 0.5000 0.5000 0.5000

The value obtained for the formation energy is 0.8040 eV per atom. The calculation puts the total energy at -16.00 eV per cell. Its distance to the lowest polymorph of the same formula is 0.000 eV/atom.


(7)
# NbTl2Ag

Crystalline NbTl2Ag at its relaxed geometry (PBE, the Alexandria database).

Unit cell a=10.4844 b=10.4844 c=10.4844 alpha=155.94 beta=155.94 gamma=34.29
Atoms (fractional coordinates):
Nb 0.0000 0.0000 0.0000
Nb 0.7500 0.2500 0.5000
Tl 0.1197 0.6250 0.9947
Tl 0.3750 0.3697 0.4947
Tl 0.6303 0.1250 0.0053
Tl 0.8750 0.8803 0.5053
Ag 0.2500 0.7500 0.5000
Ag 0.5000 0.5000 0.0000

The value obtained for the formation energy is 0.7030 eV per atom. The calculation puts the total energy at -29.68 eV per cell. Its distance to the lowest polymorph of the same formula is 0.134 eV/atom.


(8)
# NbTl2Ag

Crystalline NbTl2Ag at its relaxed geometry (PBE, the Alexandria database).

Unit cell a=4.9834 b=4.9834 c=4.9834 alpha=60.00 beta=60.00 gamma=60.00
Atoms (fractional coordinates):
Nb 0.0000 0.0000 0.0000
Tl 0.2500 0.2500 0.2500
Tl 0.7500 0.7500 0.7500
Ag 0.5000 0.5000 0.5000

The value obtained for the formation energy is 0.5686 eV per atom. The calculation puts the total energy at -15.38 eV per cell. Its distance to the lowest polymorph of the same formula is 0.000 eV/atom.


(9)
# Nb2TlAg

Crystalline Nb2TlAg at its relaxed geometry (PBE, the Alexandria database).

Unit cell a=6.1355 b=6.1355 c=6.1355 alpha=101.83 beta=101.83 gamma=126.16
Atoms (fractional coordinates):
Nb 0.1191 0.6250 0.9941
Nb 0.3750 0.3691 0.4941
Nb 0.6309 0.1250 0.0059
Nb 0.8750 0.8809 0.5059
Tl 0.2500 0.7500 0.5000
Tl 0.5000 0.5000 0.0000
Ag 0.0000 0.0000 0.0000
Ag 0.7500 0.2500 0.5000

The value obtained for the formation energy is 0.7444 eV per atom. The calculation puts the total energy at -44.76 eV per cell.


(10)
# NbTl3Ag

Crystalline NbTl3Ag at its relaxed geometry (PBE, the Alexandria database).

Unit cell a=5.4117 b=5.4117 c=5.4117 alpha=90.00 beta=90.00 gamma=90.00
Atoms (fractional coordinates):
Nb 0.0000 0.0000 0.0000
Tl 0.0000 0.5000 0.5000
Tl 0.5000 0.0000 0.5000
Tl 0.5000 0.5000 0.0000
Ag 0.5000 0.5000 0.5000

The value obtained for the formation energy is 1.0838 eV per atom. The calculation puts the total energy at -14.60 eV per cell. Its distance to the lowest polymorph of the same formula is 0.280 eV/atom.


(11)
# NbTlAg2

Crystalline NbTlAg2 at its relaxed geometry (PBE, the Alexandria database).

Unit cell a=6.1800 b=6.1800 c=6.1800 alpha=102.66 beta=102.66 gamma=124.17
Atoms (fractional coordinates):
Nb 0.0000 0.0000 0.0000
Nb 0.7500 0.2500 0.5000
Tl 0.2500 0.7500 0.5000
Tl 0.5000 0.5000 0.0000
Ag 0.1181 0.1250 0.4931
Ag 0.3750 0.8819 0.0069
Ag 0.6319 0.6250 0.5069
Ag 0.8750 0.3681 0.9931

The value obtained for the formation energy is 0.7080 eV per atom. The calculation puts the total energy at -30.61 eV per cell.


(12)
# Tm2NbAg

Crystalline Tm2NbAg at its relaxed geometry (PBE, the Alexandria database).

Unit cell a=11.1865 b=11.1865 c=11.1865 alpha=16.11 beta=16.11 gamma=16.11
Atoms (fractional coordinates):
Tm 0.0889 0.0889 0.0889
Tm 0.9111 0.9111 0.9111
Nb 0.0000 0.0000 0.0000
Ag 0.5000 0.5000 0.5000

The value obtained for the formation energy is 0.4576 eV per atom. The calculation puts the total energy at -20.03 eV per cell. Its distance to the lowest polymorph of the same formula is 0.470 eV/atom.